VASP calculation (GGA-PBE) on a geometry-optimized CuAgTeOs2 structure.

Unit cell a=4.835 b=5.097 c=4.835 alpha=90.00 beta=90.00 gamma=90.00
Site moments in Bohr magnetons follow the coordinates.
Fractional positions:
Os 0.000 0.000 0.500  0.51
Ag 0.000 0.500 0.000  0.01
Cu 0.500 0.500 0.500  0.05
Os 0.500 0.000 0.000  0.70
Te 0.000 0.000 0.000  -0.01

Calculated total energy = -4.432 eV per atom
ΔE_f (raw) = 47.91 kcal/mol of atoms
Symmetry = P4/mmm, No. 123

=====

VASP calculation (GGA-PBE) on a geometry-optimized CuAg2OsW structure.

Unit cell a=5.139 b=4.585 c=5.139 alpha=90.00 beta=90.00 gamma=90.00
Fractional positions:
W 0.000 0.000 0.000
Cu 0.500 0.500 0.500
Os 0.000 0.500 0.000
Ag 0.000 0.000 0.500
Ag 0.500 0.000 0.000

Calculated total energy = -4.801 eV per atom
Symmetry = P4/mmm, No. 123
Energy relative to the elements = 1.995 eV/atom

=====

VASP calculation (GGA-PBE) on a geometry-optimized Zn2CuAgOs structure.

Unit cell a=4.630 b=4.595 c=4.630 alpha=90.00 beta=90.00 gamma=90.00
Site moments in Bohr magnetons follow the coordinates.
Fractional positions:
Zn 0.000 0.000 0.500  -0.03
Ag 0.000 0.000 0.000  0.00
Cu 0.000 0.500 0.000  0.02
Zn 0.500 0.000 0.000  -0.02
Os 0.500 0.500 0.500  1.76

Calculated total energy = -2.648 eV per atom
Symmetry = P4/mmm, No. 123
Energy relative to the elements = 1.497 eV/atom

=====

VASP calculation (GGA-PBE) on a geometry-optimized CuAgP2 structure.

Unit cell a=6.000 b=6.000 c=6.000 alpha=148.71 beta=144.35 gamma=48.15
Fractional positions:
P 0.236 0.736 0.500
P 0.083 0.083 0.000
Ag 0.442 0.442 0.000
Cu 0.739 0.239 0.500

Calculated total energy = -4.202 eV per atom
Polymorph energy (0 for the lowest one) = 142 meV/atom
Symmetry = Imm2, No. 44
Energy relative to the elements = 0.240 eV/atom

=====

VASP calculation (GGA-PBE) on a geometry-optimized CuAgP2 structure.

Unit cell a=5.648 b=5.648 c=6.360 alpha=63.64 beta=63.64 gamma=90.00
Fractional positions:
Cu 0.250 0.750 0.500
P 0.162 0.625 0.250
P 0.375 0.412 0.750
P 0.875 0.838 0.750
Ag 0.000 0.000 0.000
Cu 0.500 0.500 0.000
Ag 0.750 0.250 0.500
P 0.588 0.125 0.250

Calculated total energy = -4.017 eV per atom
Polymorph energy (0 for the lowest one) = 328 meV/atom
Symmetry = I-42d, No. 122
Energy relative to the elements = 0.425 eV/atom

=====

VASP calculation (GGA-PBE) on a geometry-optimized CuAg2P structure.

Unit cell a=4.910 b=5.382 c=2.852 alpha=75.99 beta=87.12 gamma=116.28
Fractional positions:
Ag 0.500 0.000 0.500
Cu 0.000 0.500 0.500
Ag 0.000 0.000 0.000
P 0.500 0.500 0.000

Calculated total energy = -3.496 eV per atom
Symmetry = C2/m, No. 12
Energy relative to the elements = 0.306 eV/atom

=====

VASP calculation (GGA-PBE) on a geometry-optimized CuAg2P structure.

Unit cell a=5.336 b=5.336 c=5.336 alpha=146.77 beta=128.57 gamma=62.61
Fractional positions:
Ag 0.270 0.770 0.500
P 0.721 0.221 0.500
Cu 0.528 0.528 0.000
Ag 0.981 0.981 0.000

Calculated total energy = -3.600 eV per atom
Symmetry = Imm2, No. 44
Energy relative to the elements = 0.202 eV/atom

=====

VASP calculation (GGA-PBE) on a geometry-optimized CuAgP2 structure.

Unit cell a=4.493 b=4.288 c=4.506 alpha=69.40 beta=70.65 gamma=110.48
Fractional positions:
P 0.000 0.000 0.000
Cu 0.500 0.500 0.000
P 0.500 0.000 0.500
Ag 0.000 0.500 0.500

Calculated total energy = -4.066 eV per atom
Polymorph energy (0 for the lowest one) = 278 meV/atom
Symmetry = C2/m, No. 12
Energy relative to the elements = 0.375 eV/atom

=====

VASP calculation (GGA-PBE) on a geometry-optimized CuAgP2 structure.

Unit cell a=4.723 b=4.723 c=2.867 alpha=90.00 beta=90.00 gamma=105.26
Fractional positions:
P 0.500 0.500 0.000
Cu 0.000 0.500 0.500
P 0.000 0.000 0.000
Ag 0.500 0.000 0.500

Calculated total energy = -3.988 eV per atom
Polymorph energy (0 for the lowest one) = 357 meV/atom
Symmetry = Cmmm, No. 65
Energy relative to the elements = 0.454 eV/atom

=====

VASP calculation (GGA-PBE) on a geometry-optimized CuAgP2 structure.

Unit cell a=4.453 b=4.453 c=4.453 alpha=60.00 beta=60.00 gamma=60.00
Fractional positions:
P 0.750 0.750 0.750
Ag 0.500 0.500 0.500
P 0.250 0.250 0.250
Cu 0.000 0.000 0.000

Calculated total energy = -3.925 eV per atom
Polymorph energy (0 for the lowest one) = 420 meV/atom
Symmetry = Fm-3m, No. 225
Energy relative to the elements = 0.517 eV/atom

=====

VASP calculation (GGA-PBE) on a geometry-optimized Cu2Ag2P structure.

Unit cell a=5.987 b=5.987 c=4.318 alpha=90.00 beta=90.00 gamma=90.00
Fractional positions:
P 0.000 0.000 0.000
Ag 0.334 0.166 0.500
Cu 0.851 0.649 0.000
Cu 0.351 0.851 0.000
Ag 0.166 0.666 0.500
Cu 0.649 0.149 0.000
Ag 0.666 0.834 0.500
Cu 0.149 0.351 0.000
P 0.500 0.500 0.000
Ag 0.834 0.334 0.500

Calculated total energy = -3.747 eV per atom
Polymorph energy (0 for the lowest one) = 0 meV/atom
Symmetry = P4/mbm, No. 127
Energy relative to the elements = 0.114 eV/atom

=====

VASP calculation (GGA-PBE) on a geometry-optimized CuAgP3 structure.

Unit cell a=4.534 b=4.534 c=4.534 alpha=90.00 beta=90.00 gamma=90.00
Fractional positions:
P 0.000 0.500 0.000
Cu 0.000 0.000 0.000
P 0.500 0.000 0.000
Ag 0.500 0.500 0.500
P 0.000 0.000 0.500

Calculated total energy = -3.735 eV per atom
Polymorph energy (0 for the lowest one) = 0 meV/atom
Symmetry = Pm-3m, No. 221
Energy relative to the elements = 0.901 eV/atom

=====

VASP calculation (GGA-PBE) on a geometry-optimized CuAgP2 structure.

Unit cell a=3.851 b=3.992 c=3.992 alpha=90.00 beta=90.00 gamma=90.00
Fractional positions:
Cu 0.500 0.000 0.500
P 0.000 0.500 0.500
P 0.000 0.000 0.000
Ag 0.500 0.500 0.000

Calculated total energy = -3.989 eV per atom
Polymorph energy (0 for the lowest one) = 355 meV/atom
Symmetry = P4/mmm, No. 123
Energy relative to the elements = 0.453 eV/atom

=====

VASP calculation (GGA-PBE) on a geometry-optimized CuAg2P structure.

Unit cell a=5.053 b=5.053 c=4.836 alpha=73.95 beta=73.95 gamma=33.00
Fractional positions:
Cu 0.528 0.528 0.509
P 0.213 0.213 0.253
Ag 0.985 0.985 0.029
Ag 0.774 0.774 0.710

Calculated total energy = -3.610 eV per atom
Symmetry = Cm, No. 8
Energy relative to the elements = 0.192 eV/atom

=====

VASP calculation (GGA-PBE) on a geometry-optimized CuAgP2 structure.

Unit cell a=2.799 b=2.799 c=7.839 alpha=90.00 beta=90.00 gamma=90.00
Fractional positions:
P 0.000 0.000 0.970
Cu 0.500 0.500 0.750
P 0.000 0.000 0.530
Ag 0.500 0.500 0.250

Calculated total energy = -4.055 eV per atom
Polymorph energy (0 for the lowest one) = 290 meV/atom
Symmetry = P4/mmm, No. 123
Energy relative to the elements = 0.387 eV/atom

=====

VASP calculation (GGA-PBE) on a geometry-optimized CuAgP2 structure.

Unit cell a=5.264 b=5.264 c=5.485 alpha=115.48 beta=115.48 gamma=36.40
Fractional positions:
Ag 0.750 0.750 0.750
Cu 0.250 0.250 0.250
P 0.495 0.495 0.382
P 0.005 0.005 0.118

Calculated total energy = -4.345 eV per atom
Polymorph energy (0 for the lowest one) = 0 meV/atom
Symmetry = C2/m, No. 12
Energy relative to the elements = 0.097 eV/atom

=====

VASP calculation (GGA-PBE) on a geometry-optimized Cu2Ag2P structure.

Unit cell a=3.352 b=3.352 c=7.681 alpha=77.40 beta=77.40 gamma=90.00
Fractional positions:
Cu 0.250 0.750 0.500
Cu 0.750 0.250 0.500
P 0.000 0.000 0.000
Ag 0.600 0.600 0.800
Ag 0.400 0.400 0.200

Calculated total energy = -3.467 eV per atom
Polymorph energy (0 for the lowest one) = 280 meV/atom
Symmetry = I4/mmm, No. 139
Energy relative to the elements = 0.394 eV/atom

=====

VASP calculation (GGA-PBE) on a geometry-optimized CuAg2P structure.

Unit cell a=2.793 b=2.793 c=8.221 alpha=90.00 beta=90.00 gamma=90.00
Fractional positions:
Cu 0.500 0.500 0.250
P 0.500 0.500 0.750
Ag 0.000 0.000 0.486
Ag 0.000 0.000 0.014

Calculated total energy = -3.526 eV per atom
Symmetry = P4/mmm, No. 123
Energy relative to the elements = 0.276 eV/atom

=====

VASP calculation (GGA-PBE) on a geometry-optimized CuAgP2 structure.

Unit cell a=2.606 b=3.983 c=6.716 alpha=90.00 beta=90.00 gamma=90.00
Fractional positions:
P 0.500 0.500 0.792
Cu 0.500 0.000 0.621
P 0.000 0.000 0.183
Ag 0.000 0.500 0.405

Calculated total energy = -3.988 eV per atom
Polymorph energy (0 for the lowest one) = 357 meV/atom
Symmetry = Pmm2, No. 25
Energy relative to the elements = 0.454 eV/atom

=====

VASP calculation (GGA-PBE) on a geometry-optimized CuAgP2 structure.

Unit cell a=4.762 b=4.762 c=4.762 alpha=130.21 beta=130.21 gamma=73.07
Fractional positions:
Cu 0.750 0.250 0.500
P 0.500 0.500 0.000
Ag 0.250 0.750 0.500
P 0.000 0.000 0.000

Calculated total energy = -3.988 eV per atom
Polymorph energy (0 for the lowest one) = 357 meV/atom
Symmetry = I4/mmm, No. 139
Energy relative to the elements = 0.454 eV/atom